VASP calculation (PBE with a Hubbard U) on crystalline Rb2CrH2Cl5O at its relaxed geometry.

```
data_Rb2CrH2Cl5O
_cell_length_a 14.2794
_cell_length_b 9.4817
_cell_length_c 7.7957
_cell_angle_alpha 90.00
_cell_angle_beta 90.00
_cell_angle_gamma 90.00
_space_group_name_H-M_alt 'P n m a'
_space_group_IT_number 62
loop_
_space_group_symop_operation_xyz
'x,y,z'
'-x,-y,-z'
'-x+1/2,-y,z+1/2'
'x+1/2,y,-z+1/2'
'x+1/2,-y+1/2,-z+1/2'
'-x+1/2,y+1/2,z+1/2'
'-x,y+1/2,-z'
'x,-y+1/2,z'
loop_
_atom_site_label
_atom_site_type_symbol
_atom_site_fract_x
_atom_site_fract_y
_atom_site_fract_z
_atom_site_occupancy
Rb1 Rb 0.1533 0.0009 0.1264 1
Cr1 Cr 0.1003 0.7500 0.6887 1
H1 H 0.0370 0.1658 0.5244 1
Cl1 Cl 0.0078 0.7500 0.9458 1
Cl2 Cl 0.0949 0.0025 0.6888 1
Cl3 Cl 0.1926 0.7500 0.4328 1
Cl4 Cl 0.2380 0.7500 0.8596 1
O1 O 0.0219 0.2500 0.4542 1
```

Calculated values
Calculated total energy ... -4.23 eV per atom